A geometry-optimized CaY2Rh structure, computed with PBE.

Computed properties:
Space-group type: Imm2 (44)
Energy above the most stable polymorph in this dataset in eV per formula unit: 0.31
N(E_F) in states/eV per cell: 7.3
DFT formation energy in eV per atom: -0.308

abc: 3.6246 5.3017 11.2880
angles: 90.00 90.00 90.00
Closest atoms and distances in Å follow each position.
Element x y z (fractional)
Ca 0.0000 0.0000 0.0000  2 Rh 2.95
Ca 0.5000 0.5000 0.5000  2 Rh 2.95
Y 0.0000 0.0000 0.3879  2 Rh 2.74
Y 0.0000 0.5000 0.1947  4 Rh 3.21, 2 Y 3.43, 2 Ca 3.44
Y 0.5000 0.0000 0.6947  4 Rh 3.21, 2 Y 3.43, 2 Ca 3.44
Y 0.5000 0.5000 0.8879  2 Rh 2.74
Rh 0.0000 0.5000 0.7058  2 Y 2.74, 2 Ca 2.95
Rh 0.5000 0.0000 0.2058  2 Y 2.74, 2 Ca 2.95